Entry i
Crystalline CeErAg2 at its relaxed geometry. Source: Alexandria via LeMat-Bulk, functional PBE.

extended XYZ file:
```
4
Lattice="3.5782 0.0000 0.0000 0.0000 3.5782 0.0000 0.0000 0.0000 7.6679" Properties=species:S:1:pos:R:3 pbc="T T T"
Ce 1.7891 1.7891 3.8339
Ag 0.0000 0.0000 1.7370
Ag 0.0000 0.0000 5.9308
Er 1.7891 1.7891 0.0000
```

Theoretical density: 8.8 g/cm³
Space-group type: P4/mmm

---

Entry ii
Crystalline CeErAg2 at its relaxed geometry. Source: Alexandria via LeMat-Bulk, functional PBE.

extended XYZ file:
```
4
Lattice="5.1953 0.0000 0.0000 2.5977 4.4993 0.0000 2.5977 1.4998 4.2420" Properties=species:S:1:pos:R:3 pbc="T T T"
Er 5.1953 2.9995 2.1210
Ag 2.5977 1.4998 1.0605
Ce 0.0000 0.0000 0.0000
Ag 7.7930 4.4993 3.1815
```

Theoretical density: 8.8 g/cm³
Space-group type: Fm-3m

---

Ranking the structures above by energy, entry i is first and the second is 26 meV/atom behind.